! VSe3O, optimized geometry, DFT PBE with a Hubbard U; values from VASP
! Fermi-level density of states	1.03	states/eV/atom
! final energy	-19.3	eV/cell
! symmetry	No. 221
! ΔE to the lowest computed polymorph	243	meV per atom
&SYSTEM
  ibrav = 0, nat = 5, ntyp = 3
/
ATOMIC_SPECIES
V 50.94 V.upf
Se 78.96 Se.upf
O 16.00 O.upf
CELL_PARAMETERS angstrom
4.8422 0.0000 0.0000
0.0000 4.8422 0.0000
0.0000 0.0000 4.8422
ATOMIC_POSITIONS angstrom
V 0.0000 0.0000 0.0000
Se 0.0000 0.0000 2.4211
Se 0.0000 2.4211 0.0000
Se 2.4211 0.0000 0.0000
O 2.4211 2.4211 2.4211